DFT (PBE) results for an optimized crystal structure of ErLuHfSc.

Lattice parameters (Å, degrees): 7.509 7.509 7.509 90.00 90.00 90.00
Space group F-43m (No. 216)
One atom of each set of equivalent atoms:
Er1 0.000 0.000 0.000 x4
Lu1 0.250 0.250 0.750 x4
Hf1 0.250 0.250 0.250 x4
Sc1 0.000 0.000 0.500 x4

Values from the calculation:
The formation energy comes out at 0.242 eV per atom.

DFT (PBE) results for an optimized crystal structure of SmErLuHf.

Lattice parameters (Å, degrees): 7.695 7.695 7.695 90.00 90.00 90.00
Space group F-43m (No. 216)
One atom of each set of equivalent atoms:
Sm1 0.000 0.000 0.000 x4
Er1 0.250 0.250 0.250 x4
Lu1 0.250 0.250 0.750 x4
Hf1 0.000 0.000 0.500 x4

Values from the calculation:
The formation energy comes out at 0.278 eV per atom.

DFT (PBE) results for an optimized crystal structure of ErLuHfZr.

Lattice parameters (Å, degrees): 7.453 7.453 7.453 90.00 90.00 90.00
Space group F-43m (No. 216)
One atom of each set of equivalent atoms:
Er1 0.000 0.000 0.000 x4
Lu1 0.250 0.250 0.750 x4
Hf1 0.250 0.250 0.250 x4
Zr1 0.000 0.000 0.500 x4

Values from the calculation:
The formation energy comes out at 0.238 eV per atom.

DFT (PBE) results for an optimized crystal structure of Er5HfMg4.

Lattice parameters (Å, degrees): 3.522 3.522 21.495 90.00 90.00 90.00
Space group P4/mmm (No. 123)
One atom of each set of equivalent atoms:
Er1 0.000 0.000 0.000 x1
Er2 0.000 0.000 0.194 x2
Er3 0.000 0.000 0.400 x2
Hf1 0.500 0.500 0.500 x1
Mg1 0.500 0.500 0.097 x2
Mg2 0.500 0.500 0.294 x2

Values from the calculation:
The formation energy comes out at -0.020 eV per atom.

DFT (PBE) results for an optimized crystal structure of Er2HfMg.

Lattice parameters (Å, degrees): 3.375 3.375 9.296 90.00 90.00 90.00
Space group P4/mmm (No. 123)
One atom of each set of equivalent atoms:
Er1 0.000 0.000 0.242 x2
Hf1 0.500 0.500 0.000 x1
Mg1 0.500 0.500 0.500 x1

Values from the calculation:
The formation energy comes out at 0.005 eV per atom.

DFT (PBE) results for an optimized crystal structure of Er2HfMg.

Lattice parameters (Å, degrees): 3.1999 3.1999 36.2041 90.00 90.00 120.00
Space group R-3m (No. 166, hexagonal axes)
One atom of each set of equivalent atoms:
Er1 0.0000 0.0000 0.0876 x6
Hf1 0.0000 0.0000 0.0000 x3
Mg1 0.0000 0.0000 0.5000 x3

Values from the calculation:
The formation energy comes out at 0.371 eV per atom.

Respective calculated total energy values: -97.60, -90.58, -106.54, -39.35, -20.65, -57.57 eV for the cell shown.